Material: LaBe3F
Method: DFT, SCAN
State: PBEsol geometry

Cell lengths 5.643, 5.643, 5.643 Å; angles 90.00, 90.00, 90.00 degrees
Space group Pm-3m (No. 221)
Symmetry-distinct sites (fractional):
La 0.000 0.000 0.000
Be 0.000 0.000 0.500
F 0.500 0.500 0.500

The formation energy (no corrections) comes out at 1.73 eV per atom.



Material: CaSb2Br
Method: DFT, SCAN
State: PBEsol geometry

Cell lengths 4.200, 4.200, 12.742 Å; angles 90.00, 90.00, 90.00 degrees
Space group I4/mmm (No. 139)
Symmetry-distinct sites (fractional):
Ca 0.000 0.000 0.000
Sb 0.000 0.500 0.250
Br 0.000 0.000 0.500

The formation energy (no corrections) comes out at -0.82 eV per atom. The relative energy among the computed polymorphs comes out at 0.0 kJ/mol of formula units.



Material: Sr4MgMn
Method: DFT, SCAN
State: PBEsol geometry

Cell lengths 10.003, 10.003, 10.003 Å; angles 90.00, 90.00, 90.00 degrees
Space group F-43m (No. 216)
Symmetry-distinct sites (fractional):
Sr 0.125 0.125 0.125
Mg 0.250 0.250 0.750
Mn 0.000 0.000 0.500

As for the energy of formation: 0.615 eV per atom.



Material: TaTeRu2
Method: DFT, SCAN
State: PBEsol geometry

Cell lengths 9.494, 3.074, 4.528 Å; angles 90.00, 98.67, 90.00 degrees
Space group Cm (No. 8)
Symmetry-distinct sites (fractional):
Ta 0.000 0.000 0.000
Te 0.235 0.000 0.674
Ru 0.239 0.500 0.190
Ru 0.481 0.000 0.459

The formation energy (no corrections) comes out at 0.08 eV per atom.



Material: LiCuCl2
Method: DFT, SCAN
State: PBEsol geometry

Cell lengths 5.337, 5.337, 10.778 Å; angles 90.00, 90.00, 90.00 degrees
Space group I-42d (No. 122)
Symmetry-distinct sites (fractional):
Li 0.000 0.000 0.000
Cu 0.000 0.000 0.500
Cl 0.241 0.250 0.625

The formation energy (no corrections) comes out at -1.24 eV per atom.



Material: BaNa2Si4
Method: DFT, SCAN
State: PBEsol geometry

Cell lengths 9.462, 17.802, 8.443 Å; angles 90.00, 90.00, 90.00 degrees
Space group Ima2 (No. 46)
Symmetry-distinct sites (fractional):
Ba 0.000 0.000 0.000
Ba 0.250 0.168 0.668
Na 0.000 0.000 0.497
Na 0.033 0.725 0.497
Na 0.250 0.628 0.827
Si 0.120 0.159 0.296
Si 0.121 0.640 0.188
Si 0.250 0.044 0.276
Si 0.250 0.135 0.058
Si 0.250 0.525 0.221
Si 0.250 0.618 0.428

The formation energy (no corrections) comes out at -0.18 eV per atom.



Material: Cr3GaW
Method: DFT, SCAN
State: PBEsol geometry

Cell lengths 4.586, 4.586, 4.586 Å; angles 90.00, 90.00, 90.00 degrees
Space group Pm-3m (No. 221)
Symmetry-distinct sites (fractional):
Cr 0.000 0.000 0.500
Ga 0.500 0.500 0.500
W 0.000 0.000 0.000

As for the energy of formation: 1.407 eV per atom.



Material: Y3BAs
Method: DFT, SCAN
State: PBEsol geometry

Cell lengths 5.210, 5.210, 5.210 Å; angles 90.00, 90.00, 90.00 degrees
Space group Pm-3m (No. 221)
Symmetry-distinct sites (fractional):
Y 0.000 0.000 0.500
B 0.500 0.500 0.500
As 0.000 0.000 0.000

As for the energy of formation: 0.277 eV per atom.



Material: NbP2ClO
Method: DFT, SCAN
State: PBEsol geometry

Cell lengths 3.775, 3.775, 4.958 Å; angles 90.00, 90.00, 90.00 degrees
Space group P4/mmm (No. 123)
Symmetry-distinct sites (fractional):
Nb 0.000 0.000 0.000
P 0.000 0.500 0.500
Cl 0.500 0.500 0.000
O 0.500 0.500 0.500

The formation energy (no corrections) comes out at 0.21 eV per atom.



Material: ZnCdCu2
Method: DFT, SCAN
State: PBEsol geometry

Cell lengths 2.966, 4.326, 8.693 Å; angles 90.00, 90.00, 90.00 degrees
Space group Imm2 (No. 44)
Symmetry-distinct sites (fractional):
Zn 0.000 0.000 0.000
Cd 0.000 0.500 0.229
Cu 0.000 0.000 0.467
Cu 0.000 0.500 0.737

As for the energy of formation: 0.039 eV per atom.



Material: Cd2PbSI
Method: DFT, SCAN
State: PBEsol geometry

Cell lengths 5.038, 5.038, 5.782 Å; angles 90.00, 90.00, 90.00 degrees
Space group P4/mmm (No. 123)
Symmetry-distinct sites (fractional):
Cd 0.000 0.500 0.000
Pb 0.000 0.000 0.500
S 0.500 0.500 0.000
I 0.500 0.500 0.500

The formation energy (no corrections) comes out at 0.27 eV per atom.



Material: HgPt2Rh
Method: DFT, SCAN
State: PBEsol geometry

Cell lengths 2.808, 2.808, 7.984 Å; angles 90.00, 90.00, 90.00 degrees
Space group P4/mmm (No. 123)
Symmetry-distinct sites (fractional):
Hg 0.000 0.000 0.000
Pt 0.500 0.500 0.269
Rh 0.000 0.000 0.500

As for the energy of formation: 0.073 eV per atom.